No. 1
Here is crystalline Cs4GaAu5 at its relaxed geometry from Alexandria. Energies are from GGA-PBE.

The structure belongs to space group I4 (No. 79); the cell edges are 10.645, 10.645 and 7.283 Å and the angles 90.00°, 90.00° and 90.00°. The distinct sites, in fractional coordinates, are Cs at (0.082, 0.291, 0.000), Ga at (0.000, 0.000, 0.611), Au at (0.000, 0.000, 0.250) and Au at (0.074, 0.228, 0.504).

The value obtained for the formation energy is -2.32 eV per formula unit. The volume is 41.26 Å³/atom.



No. 2
Here is crystalline PmTh4P5 at its relaxed geometry from Alexandria. Energies are from GGA-PBE.

The structure belongs to space group I4/m (No. 87); the cell edges are 9.257, 9.257 and 5.856 Å and the angles 90.00°, 90.00° and 90.00°. The distinct sites, in fractional coordinates, are Pm at (0.000, 0.000, 0.000), Th at (0.101, 0.300, 0.500), P at (0.000, 0.000, 0.500) and P at (0.100, 0.301, 0.000).

The value obtained for the formation energy is -15.60 eV per formula unit. The volume is 25.09 Å³/atom.



No. 3
Here is crystalline Ac2LaCeRu2 at its relaxed geometry from Alexandria. Energies are from GGA-PBE.

The structure belongs to space group C2/c (No. 15); the cell edges are 14.875, 7.513 and 6.946 Å and the angles 90.00°, 108.74° and 90.00°. The distinct sites, in fractional coordinates, are Ac at (0.199, 0.175, 0.218), La at (0.000, 0.486, 0.250), Ce at (0.000, 0.060, 0.750) and Ru at (0.097, 0.208, 0.572).

The value obtained for the formation energy is -1.26 eV per formula unit. The volume is 30.63 Å³/atom.



The highest volume belongs to which entry?
Cs4GaAu5